1.
The following is a DFT calculation (GGA-PBE) of a relaxed ScRe2Tc crystal.

Cell: 6.293 6.293 6.293 Å, 90.00 90.00 90.00°
Space group F-43m (No. 216)
Asymmetric unit:
Sc 0.000 0.000 0.000 [4 per cell]
Re 0.000 0.000 0.500 [4 per cell]
Re 0.250 0.250 0.250 [4 per cell]
Tc 0.250 0.250 0.750 [4 per cell]

Energy above the most stable polymorph in this dataset in meV per atom: 0
Crystal system: cubic
ΔH_f (0 K) in eV per atom: -0.14

=====

2.
The following is a DFT calculation (GGA-PBE) of a relaxed ScReTc2 crystal.

Cell: 3.123 3.123 6.505 Å, 90.00 90.00 90.00°
Space group P4mm (No. 99)
Asymmetric unit:
Sc 0.000 0.000 0.000 [1 per cell]
Re 0.500 0.500 0.728 [1 per cell]
Tc 0.000 0.000 0.499 [1 per cell]
Tc 0.500 0.500 0.260 [1 per cell]

Energy above the most stable polymorph in this dataset in meV per atom: 181
Crystal system: tetragonal
ΔH_f (0 K) in eV per atom: -0.02

=====

3.
The following is a DFT calculation (GGA-PBE) of a relaxed ScReTc crystal.

Cell: 5.225 5.331 7.430 Å, 90.00 90.00 90.00°
Space group Imma (No. 74)
Asymmetric unit:
Sc 0.000 0.250 0.125 [4 per cell]
Re 0.250 0.250 0.750 [4 per cell]
Tc 0.000 0.000 0.500 [4 per cell]

Energy above the most stable polymorph in this dataset in meV per atom: 0
Crystal system: orthorhombic
ΔH_f (0 K) in eV per atom: -0.29

=====

4.
The following is a DFT calculation (GGA-PBE) of a relaxed ScReTc2 crystal.

Cell: 3.121 4.435 9.048 Å, 90.00 90.00 90.00°
Space group Imm2 (No. 44)
Asymmetric unit:
Sc 0.000 0.000 0.000 [2 per cell]
Re 0.000 0.500 0.242 [2 per cell]
Tc 0.000 0.000 0.501 [2 per cell]
Tc 0.000 0.500 0.755 [2 per cell]

Energy above the most stable polymorph in this dataset in meV per atom: 97
Crystal system: orthorhombic
ΔH_f (0 K) in eV per atom: -0.10

=====

5.
The following is a DFT calculation (GGA-PBE) of a relaxed ScReTc2 crystal.

Cell: 3.119 4.400 4.551 Å, 90.00 90.00 90.00°
Space group Pmmm (No. 47)
Asymmetric unit:
Sc 0.000 0.000 0.000 [1 per cell]
Re 0.500 0.000 0.500 [1 per cell]
Tc 0.000 0.500 0.500 [1 per cell]
Tc 0.500 0.500 0.000 [1 per cell]

Energy above the most stable polymorph in this dataset in meV per atom: 183
Crystal system: orthorhombic
ΔH_f (0 K) in eV per atom: -0.02

=====

6.
The following is a DFT calculation (GGA-PBE) of a relaxed ScReTc2 crystal.

Cell: 3.770 3.770 8.966 Å, 90.00 90.00 90.00°
Space group I-4m2 (No. 119)
Asymmetric unit:
Sc 0.000 0.000 0.000 [2 per cell]
Re 0.000 0.500 0.250 [2 per cell]
Tc 0.000 0.000 0.500 [2 per cell]
Tc 0.000 0.500 0.750 [2 per cell]

Energy above the most stable polymorph in this dataset in meV per atom: 372
Crystal system: tetragonal
ΔH_f (0 K) in eV per atom: 0.17

=====

7.
The following is a DFT calculation (GGA-PBE) of a relaxed ScReTc crystal.

Cell: 6.086 6.086 6.086 Å, 90.00 90.00 90.00°
Space group F-43m (No. 216)
Asymmetric unit:
Sc 0.000 0.000 0.000 [4 per cell]
Re 0.000 0.000 0.500 [4 per cell]
Tc 0.250 0.250 0.250 [4 per cell]

Energy above the most stable polymorph in this dataset in meV per atom: 574
Crystal system: cubic
ΔH_f (0 K) in eV per atom: 0.29

=====

8.
The following is a DFT calculation (GGA-PBE) of a relaxed ScReTc2 crystal.

Cell: 3.130 3.130 6.465 Å, 90.00 90.00 90.00°
Space group P4/mmm (No. 123)
Asymmetric unit:
Sc 0.000 0.000 0.000 [1 per cell]
Re 0.000 0.000 0.500 [1 per cell]
Tc 0.500 0.500 0.267 [2 per cell]

Energy above the most stable polymorph in this dataset in meV per atom: 74
Crystal system: tetragonal
ΔH_f (0 K) in eV per atom: -0.12

=====

9.
The following is a DFT calculation (GGA-PBE) of a relaxed ScRe2Tc crystal.

Cell: 2.849 4.303 5.240 Å, 90.00 90.00 90.00°
Space group Pmmm (No. 47)
Asymmetric unit:
Sc 0.000 0.000 0.000 [1 per cell]
Re 0.500 0.500 0.257 [2 per cell]
Tc 0.000 0.000 0.500 [1 per cell]

Energy above the most stable polymorph in this dataset in meV per atom: 318
Crystal system: orthorhombic
ΔH_f (0 K) in eV per atom: 0.18

=====

10.
The following is a DFT calculation (GGA-PBE) of a relaxed Sc3ReTc crystal.

Cell: 4.968 4.968 4.968 Å, 90.00 90.00 90.00°
Space group Pm-3m (No. 221)
Asymmetric unit:
Sc 0.000 0.000 0.500 [3 per cell]
Re 0.000 0.000 0.000 [1 per cell]
Tc 0.500 0.500 0.500 [1 per cell]

Energy above the most stable polymorph in this dataset in meV per atom: 0
Crystal system: cubic
ΔH_f (0 K) in eV per atom: 0.84

=====

11.
The following is a DFT calculation (GGA-PBE) of a relaxed ScReTc2 crystal.

Cell: 5.492 8.717 2.790 Å, 90.00 110.66 90.00°
Space group C2/m (No. 12)
Asymmetric unit:
Sc 0.000 0.000 0.000 [2 per cell]
Re 0.000 0.500 0.000 [2 per cell]
Tc 0.250 0.250 0.500 [4 per cell]

Energy above the most stable polymorph in this dataset in meV per atom: 178
Crystal system: monoclinic
ΔH_f (0 K) in eV per atom: -0.02

=====

12.
The following is a DFT calculation (GGA-PBE) of a relaxed ScReTc4 crystal.

Cell: 7.263 7.263 7.263 Å, 90.00 90.00 90.00°
Space group F-43m (No. 216)
Asymmetric unit:
Sc 0.000 0.000 0.000 [4 per cell]
Re 0.250 0.250 0.250 [4 per cell]
Tc 0.126 0.126 0.626 [16 per cell]

Crystal system: cubic
ΔH_f (0 K) in eV per atom: 0.07

=====

13.
The following is a DFT calculation (GGA-PBE) of a relaxed ScRe2Tc crystal.

Cell: 2.8589 2.8589 27.1732 Å, 90.00 90.00 120.00°
Space group R3m (No. 160, hexagonal axes)
Asymmetric unit:
Sc 0.0000 0.0000 0.0000 [3 per cell]
Re 0.0000 0.0000 0.5010 [3 per cell]
Re 0.0000 0.0000 0.7550 [3 per cell]
Tc 0.0000 0.0000 0.2464 [3 per cell]

Energy above the most stable polymorph in this dataset in meV per atom: 291
Crystal system: trigonal
ΔH_f (0 K) in eV per atom: 0.15

=====

14.
The following is a DFT calculation (GGA-PBE) of a relaxed ScVReTc crystal.

Cell: 6.255 6.255 6.255 Å, 90.00 90.00 90.00°
Space group F-43m (No. 216)
Asymmetric unit:
Sc 0.000 0.000 0.000 [4 per cell]
V 0.000 0.000 0.500 [4 per cell]
Re 0.250 0.250 0.250 [4 per cell]
Tc 0.250 0.250 0.750 [4 per cell]

Crystal system: cubic
ΔH_f (0 K) in eV per atom: -0.12

=====

15.
The following is a DFT calculation (GGA-PBE) of a relaxed ScVReTc2 crystal.

Cell: 4.733 4.733 4.503 Å, 90.00 90.00 90.00°
Space group P4/mmm (No. 123)
Asymmetric unit:
Sc 0.000 0.000 0.000 [1 per cell]
V 0.500 0.500 0.000 [1 per cell]
Re 0.500 0.500 0.500 [1 per cell]
Tc 0.000 0.500 0.500 [2 per cell]

Crystal system: tetragonal
ΔH_f (0 K) in eV per atom: 1.00

=====

16.
The following is a DFT calculation (GGA-PBE) of a relaxed ScZnRe2Tc crystal.

Cell: 4.617 4.617 4.568 Å, 90.00 90.00 90.00°
Space group P4/mmm (No. 123)
Asymmetric unit:
Sc 0.000 0.000 0.000 [1 per cell]
Zn 0.500 0.500 0.500 [1 per cell]
Re 0.000 0.500 0.000 [2 per cell]
Tc 0.000 0.000 0.500 [1 per cell]

Crystal system: tetragonal
ΔH_f (0 K) in eV per atom: 2.22

=====

17.
The following is a DFT calculation (GGA-PBE) of a relaxed Sc2ReTe crystal.

Cell: 3.4014 3.4014 25.3458 Å, 90.00 90.00 120.00°
Space group R-3m (No. 166, hexagonal axes)
Asymmetric unit:
Sc 0.0000 0.0000 0.2428 [6 per cell]
Re 0.0000 0.0000 0.5000 [3 per cell]
Te 0.0000 0.0000 0.0000 [3 per cell]

Crystal system: trigonal
Formation energy without anion corrections in eV/atom: -0.205

=====

18.
The following is a DFT calculation (GGA-PBE) of a relaxed ScReTe crystal.

Cell: 3.3346 3.3346 6.4393 Å, 90.00 90.00 120.00°
Space group P3m1 (No. 156)
Asymmetric unit:
Sc 0.0000 0.0000 0.0000 [1 per cell]
Re 0.3333 0.6667 0.6931 [1 per cell]
Te 0.6667 0.3333 0.3881 [1 per cell]

Energy above the most stable polymorph in this dataset in meV per atom: 200
Crystal system: trigonal
Formation energy without anion corrections in eV/atom: 0.214

=====

19.
The following is a DFT calculation (GGA-PBE) of a relaxed ScReTe crystal.

Cell: 6.435 6.435 6.435 Å, 90.00 90.00 90.00°
Space group F-43m (No. 216)
Asymmetric unit:
Sc 0.000 0.000 0.000 [4 per cell]
Re 0.250 0.250 0.250 [4 per cell]
Te 0.250 0.250 0.750 [4 per cell]

Energy above the most stable polymorph in this dataset in meV per atom: 593
Crystal system: cubic
Formation energy without anion corrections in eV/atom: 0.607

=====

20.
The following is a DFT calculation (GGA-PBE) of a relaxed Sc2ReTe crystal.

Cell: 4.269 4.269 19.080 Å, 90.00 90.00 90.00°
Space group I-42d (No. 122)
Asymmetric unit:
Sc 0.245 0.250 0.125 [8 per cell]
Re 0.000 0.000 0.000 [4 per cell]
Te 0.000 0.000 0.500 [4 per cell]

Crystal system: tetragonal
Formation energy without anion corrections in eV/atom: 0.405

=====

21.
The following is a DFT calculation (GGA-PBE) of a relaxed ScRe2Te crystal.

Cell: 3.142 4.287 5.588 Å, 90.00 90.00 90.00°
Space group Pmmm (No. 47)
Asymmetric unit:
Sc 0.000 0.000 0.000 [1 per cell]
Re 0.500 0.500 0.210 [2 per cell]
Te 0.000 0.000 0.500 [1 per cell]

Crystal system: orthorhombic
Formation energy without anion corrections in eV/atom: 0.375

=====

22.
The following is a DFT calculation (GGA-PBE) of a relaxed ScRe2Te crystal.

Cell: 4.501 4.501 3.377 Å, 90.00 90.00 90.00°
Space group P4/mmm (No. 123)
Asymmetric unit:
Sc 0.000 0.000 0.000 [1 per cell]
Re 0.000 0.500 0.500 [2 per cell]
Te 0.500 0.500 0.000 [1 per cell]

Crystal system: tetragonal
Formation energy without anion corrections in eV/atom: 0.311

=====

23.
The following is a DFT calculation (GGA-PBE) of a relaxed ScReTe3 crystal.

Cell: 5.273 5.273 5.273 Å, 90.00 90.00 90.00°
Space group Pm-3m (No. 221)
Asymmetric unit:
Sc 0.000 0.000 0.000 [1 per cell]
Re 0.500 0.500 0.500 [1 per cell]
Te 0.000 0.500 0.500 [3 per cell]

Energy above the most stable polymorph in this dataset in meV per atom: 0
Crystal system: cubic
Formation energy without anion corrections in eV/atom: 0.549

=====

24.
The following is a DFT calculation (GGA-PBE) of a relaxed ScRe2Te crystal.

Cell: 6.582 6.582 6.582 Å, 90.00 90.00 90.00°
Space group F-43m (No. 216)
Asymmetric unit:
Sc 0.000 0.000 0.000 [4 per cell]
Re 0.000 0.000 0.500 [4 per cell]
Re 0.250 0.250 0.750 [4 per cell]
Te 0.250 0.250 0.250 [4 per cell]

Crystal system: cubic
Formation energy without anion corrections in eV/atom: 0.484

=====

25.
The following is a DFT calculation (GGA-PBE) of a relaxed ScRe2Te crystal.

Cell: 10.087 3.611 4.550 Å, 90.00 105.09 90.00°
Space group C2/m (No. 12)
Asymmetric unit:
Sc 0.000 0.000 0.000 [2 per cell]
Re 0.242 0.000 0.822 [4 per cell]
Te 0.000 0.500 0.500 [2 per cell]

Crystal system: monoclinic
Formation energy without anion corrections in eV/atom: 0.267

=====

26.
The following is a DFT calculation (GGA-PBE) of a relaxed ScReTe2 crystal.

Cell: 8.145 3.543 6.220 Å, 90.00 102.98 90.00°
Space group C2/m (No. 12)
Asymmetric unit:
Sc 0.000 0.000 0.000 [2 per cell]
Re 0.000 0.500 0.500 [2 per cell]
Te 0.244 0.000 0.723 [4 per cell]

Energy above the most stable polymorph in this dataset in meV per atom: 255
Crystal system: monoclinic
Formation energy without anion corrections in eV/atom: 0.038

=====

27.
The following is a DFT calculation (GGA-PBE) of a relaxed ScRe2Te crystal.

Cell: 3.116 3.116 7.762 Å, 90.00 90.00 90.00°
Space group P4mm (No. 99)
Asymmetric unit:
Sc 0.000 0.000 0.000 [1 per cell]
Re 0.000 0.000 0.572 [1 per cell]
Re 0.500 0.500 0.756 [1 per cell]
Te 0.500 0.500 0.299 [1 per cell]

Crystal system: tetragonal
Formation energy without anion corrections in eV/atom: 0.070

=====

28.
The following is a DFT calculation (GGA-PBE) of a relaxed ScReTe2 crystal.

Cell: 4.374 4.374 8.650 Å, 90.00 90.00 90.00°
Space group I-4m2 (No. 119)
Asymmetric unit:
Sc 0.000 0.000 0.000 [2 per cell]
Re 0.000 0.500 0.750 [2 per cell]
Te 0.000 0.000 0.500 [2 per cell]
Te 0.000 0.500 0.250 [2 per cell]

Energy above the most stable polymorph in this dataset in meV per atom: 496
Crystal system: tetragonal
Formation energy without anion corrections in eV/atom: 0.280

=====

29.
The following is a DFT calculation (GGA-PBE) of a relaxed ScReTe2 crystal.

Cell: 7.013 7.013 7.013 Å, 90.00 90.00 90.00°
Space group F-43m (No. 216)
Asymmetric unit:
Sc 0.000 0.000 0.000 [4 per cell]
Re 0.250 0.250 0.250 [4 per cell]
Te 0.000 0.000 0.500 [4 per cell]
Te 0.250 0.250 0.750 [4 per cell]

Energy above the most stable polymorph in this dataset in meV per atom: 736
Crystal system: cubic
Formation energy without anion corrections in eV/atom: 0.520

=====

30.
The following is a DFT calculation (GGA-PBE) of a relaxed Sc2ReTe crystal.

Cell: 3.541 3.541 6.372 Å, 90.00 90.00 90.00°
Space group P4/mmm (No. 123)
Asymmetric unit:
Sc 0.000 0.000 0.228 [2 per cell]
Re 0.500 0.500 0.000 [1 per cell]
Te 0.500 0.500 0.500 [1 per cell]

Crystal system: tetragonal
Formation energy without anion corrections in eV/atom: -0.421

=====

Number 1: total moment 0.00 μB per formula unit. Number 2: total moment 0.00 μB per formula unit. Number 3: total moment 0.00 μB per formula unit. Number 4: total moment 0.00 μB per formula unit. Number 5: total moment 0.00 μB per formula unit. Number 6: total moment 0.00 μB per formula unit. Number 7: total moment 0.00 μB per formula unit. Number 8: total moment 0.00 μB per formula unit. Number 9: total moment 0.00 μB per formula unit. Number 10: total moment 2.74 μB per formula unit. Number 11: total moment 0.00 μB per formula unit. Number 12: total moment 0.00 μB per formula unit. Number 13: total moment 0.00 μB per formula unit. Number 14: total moment 0.00 μB per formula unit. Number 15: total moment 0.00 μB per formula unit. Number 16: total moment 0.98 μB per formula unit. Number 17: total moment 0.00 μB per formula unit. Number 18: total moment 0.00 μB per formula unit. Number 19: total moment 0.00 μB per formula unit. Number 20: total moment 0.00 μB per formula unit. Number 21: total moment 0.00 μB per formula unit. Number 22: total moment 0.00 μB per formula unit. Number 23: total moment 1.72 μB per formula unit. Number 24: total moment 0.00 μB per formula unit. Number 25: total moment 0.00 μB per formula unit. Number 26: total moment 0.00 μB per formula unit. Number 27: total moment 0.00 μB per formula unit. Number 28: total moment 0.00 μB per formula unit. Number 29: total moment 0.00 μB per formula unit. Number 30: total moment 0.00 μB per formula unit.